Entry from Alexandria: a relaxed structure of Mg4P6Rh7 (PBE).

Computed properties:
E (eV/atom): -6.078
Total magnetization (μB per atom): 0.0000
ΔH_f (0 K) (eV/atom): -0.766
DOS(E_F) (states/eV/f.u.): 5.34

Cell lengths 6.846, 6.846, 6.846 Å; angles 109.47, 109.47, 109.47 degrees
Fractional positions:
Mg1 0.000 0.000 0.500
Mg2 0.000 0.500 0.000
Mg3 0.500 0.000 0.000
Mg4 0.500 0.500 0.500
P1 0.000 0.319 0.319
P2 0.000 0.681 0.681
P3 0.319 0.000 0.319
P4 0.319 0.319 0.000
P5 0.681 0.000 0.681
P6 0.681 0.681 0.000
Rh1 0.000 0.000 0.000
Rh2 0.250 0.500 0.750
Rh3 0.250 0.750 0.500
Rh4 0.500 0.250 0.750
Rh5 0.500 0.750 0.250
Rh6 0.750 0.250 0.500
Rh7 0.750 0.500 0.250